TbPbNO | PBE | relaxed

Computed properties:
E_tot: -6.650 eV/atom
symmetry: P4/nmm (129)

Structure (POSCAR):
```
TbPbNO
1.0
-3.9240 -1.3495 1.8028
1.8590 -3.9853 1.0632
2.2060 2.8864 6.9622
Tb N O Pb
2 2 2 2
direct
0.7500 0.7500 0.0888
0.2500 0.2500 0.9112
0.7500 0.7500 0.3639
0.2500 0.2500 0.6361
0.2500 0.7500 0.0000
0.7500 0.2500 0.0000
0.7500 0.2500 0.5000
0.2500 0.7500 0.5000
```